TbTm2PuN4: optimized geometry, PBE.

a b c (Å): 5.9528 3.4505 5.9539
angles (deg): 90.00 109.39 90.00
Positions (direct):
Tb (0.0000, 0.0000, 0.0000)
Tm (0.0000, 0.5000, 0.5000)
Tm (0.5000, 0.0000, 0.5000)
Pu (0.5000, 0.5000, 0.0000)
N (0.2540, 0.0000, 0.7490)
N (0.2561, 0.5000, 0.2529)
N (0.7439, 0.5000, 0.7471)
N (0.7460, 0.0000, 0.2510)

Results
Formation energy (no corrections): -156 kJ per mole of atoms
Calculated total energy: -9.2720 eV per atom

***

BaMn2Be: optimized geometry, PBE.

a b c (Å): 3.2753 4.9085 5.0794
angles (deg): 90.00 90.00 90.00
Positions (direct):
Ba (0.0000, 0.0000, 0.0000)
Mn (0.0000, 0.5000, 0.5000)
Mn (0.5000, 0.5000, 0.0000)
Be (0.5000, 0.0000, 0.5000)

Results
Calculated total energy: -4.9220 eV per atom
Energy of formation from the pure elements: 1075.0 meV per atom

***

Question: Which value of calculated total energy does entry 1 give?
Answer: -9.2720 eV per atom